Entry from OQMD via LeMat-Bulk: a relaxed structure of ReBi (PBE).

For the density, the calculation gives 16.15 g/cm³. The offset from the most stable computed form is 712.4 meV/atom. The raw total energy comes out at -13.87 eV/cell. The calculation puts the total magnetic moment at 0.000 μB/atom.

The space group is P-6m2 (No. 187) and the conventional cell measures 3.3294, 3.3294 and 4.2322 Å, with angles of 90.00, 90.00 and 120.00 degrees. Symmetry generates all atoms from Re at (0.0000, 0.0000, 0.0000) and Bi at (0.3333, 0.6667, 0.5000).

=====

Entry from OQMD via LeMat-Bulk: a relaxed structure of HoAl8Re4 (PBE).

For the density, the calculation gives 8.79 g/cm³. The raw total energy comes out at -177.83 eV/cell. The calculation puts the total magnetic moment at 0.000 μB/atom.

The space group is I4/mmm (No. 139) and the conventional cell measures 9.044, 9.044 and 5.199 Å, with angles of 90.00, 90.00 and 90.00 degrees. Symmetry generates all atoms from Ho at (0.000, 0.000, 0.000), Al at (0.000, 0.213, 0.500), Al at (0.000, 0.345, 0.000) and Re at (0.250, 0.250, 0.250).